Record 1
# HgGe2Pd PBE relaxed
# - energy relative to the elements (eV/atom) = -0.048
data_HgGe2Pd
_chemical_formula_sum 'Hg3 Ge6 Pd3'
_cell_length_a 3.3591
_cell_length_b 3.3591
_cell_length_c 25.8893
_cell_angle_alpha 90.00
_cell_angle_beta 90.00
_cell_angle_gamma 120.00
_space_group_name_H-M_alt 'R -3 m'
_space_group_IT_number 166
_space_group_name_Hall '-R 3 2"'
loop_
_atom_site_label
_atom_site_type_symbol
_atom_site_fract_x
_atom_site_fract_y
_atom_site_fract_z
_atom_site_occupancy
Hg1 Hg 0.0000 0.0000 0.0000 1
Ge1 Ge 0.0000 0.0000 0.1018 1
Pd1 Pd 0.0000 0.0000 0.5000 1

=====

Record 2
# ZrIr2Pb PBE relaxed
# - energy relative to the elements (eV/atom) = 0.480
data_ZrIr2Pb
_chemical_formula_sum 'Zr4 Ir8 Pb4'
_cell_length_a 6.1614
_cell_length_b 6.1614
_cell_length_c 11.6940
_cell_angle_alpha 90.00
_cell_angle_beta 90.00
_cell_angle_gamma 90.00
_space_group_name_H-M_alt 'I -4 2 d'
_space_group_IT_number 122
_space_group_name_Hall 'I -4 2bw'
loop_
_atom_site_label
_atom_site_type_symbol
_atom_site_fract_x
_atom_site_fract_y
_atom_site_fract_z
_atom_site_occupancy
Zr1 Zr 0.0000 0.0000 0.0000 1
Ir1 Ir 0.2376 0.2500 0.1250 1
Pb1 Pb 0.0000 0.0000 0.5000 1

=====

Record 3
# Hf6Sn2N PBE relaxed
# - formation energy (no corrections) (eV/atom) = -0.563
data_Hf6Sn2N
_chemical_formula_sum 'Hf12 Sn4 N2'
_cell_length_a 6.2145
_cell_length_b 6.2145
_cell_length_c 9.1357
_cell_angle_alpha 90.00
_cell_angle_beta 90.00
_cell_angle_gamma 90.00
_space_group_name_H-M_alt 'P 4/m n c'
_space_group_IT_number 128
_space_group_name_Hall '-P 4 2n'
loop_
_atom_site_label
_atom_site_type_symbol
_atom_site_fract_x
_atom_site_fract_y
_atom_site_fract_z
_atom_site_occupancy
Hf1 Hf 0.0000 0.0000 0.2481 1
Hf2 Hf 0.2234 0.2657 0.0000 1
Sn1 Sn 0.0000 0.5000 0.2500 1
N1 N 0.0000 0.0000 0.5000 1

=====

Record 4
# Ti4GaTc5 PBE relaxed
# - energy relative to the elements (eV/atom) = -0.399
data_Ti4GaTc5
_chemical_formula_sum 'Ti4 Ga1 Tc5'
_cell_length_a 3.1250
_cell_length_b 3.1250
_cell_length_c 15.2457
_cell_angle_alpha 90.00
_cell_angle_beta 90.00
_cell_angle_gamma 90.00
_space_group_name_H-M_alt 'P 4/m m m'
_space_group_IT_number 123
_space_group_name_Hall '-P 4 2'
loop_
_atom_site_label
_atom_site_type_symbol
_atom_site_fract_x
_atom_site_fract_y
_atom_site_fract_z
_atom_site_occupancy
Ti1 Ti 0.0000 0.0000 0.1012 1
Ti2 Ti 0.0000 0.0000 0.3033 1
Ga1 Ga 0.0000 0.0000 0.5000 1
Tc1 Tc 0.5000 0.5000 0.0000 1
Tc2 Tc 0.5000 0.5000 0.2021 1
Tc3 Tc 0.5000 0.5000 0.4028 1

=====

Record 5
# BaPmAu2 PBE relaxed
# - energy relative to the elements (eV/atom) = -0.655
data_BaPmAu2
_chemical_formula_sum 'Ba3 Pm3 Au6'
_cell_length_a 4.4907
_cell_length_b 4.4907
_cell_length_c 22.4675
_cell_angle_alpha 90.00
_cell_angle_beta 90.00
_cell_angle_gamma 120.00
_space_group_name_H-M_alt 'R -3 m'
_space_group_IT_number 166
_space_group_name_Hall '-R 3 2"'
loop_
_atom_site_label
_atom_site_type_symbol
_atom_site_fract_x
_atom_site_fract_y
_atom_site_fract_z
_atom_site_occupancy
Ba1 Ba 0.0000 0.0000 0.0000 1
Pm1 Pm 0.0000 0.0000 0.5000 1
Au1 Au 0.0000 0.0000 0.2370 1

=====

Record 6
# Ca3IrBr2O6 PBE relaxed
# - formation energy (no corrections) (eV/atom) = -1.507
data_Ca3IrBr2O6
_chemical_formula_sum 'Ca6 Ir2 Br4 O12'
_cell_length_a 11.4830
_cell_length_b 6.6008
_cell_length_c 5.9518
_cell_angle_alpha 90.00
_cell_angle_beta 98.81
_cell_angle_gamma 90.00
_space_group_name_H-M_alt 'C 1 2/m 1'
_space_group_IT_number 12
_space_group_name_Hall '-C 2y'
loop_
_atom_site_label
_atom_site_type_symbol
_atom_site_fract_x
_atom_site_fract_y
_atom_site_fract_z
_atom_site_occupancy
Ca1 Ca 0.0000 0.0000 0.0000 1
Ca2 Ca 0.2500 0.2500 0.5000 1
Ir1 Ir 0.0000 0.5000 0.5000 1
Br1 Br 0.2203 0.0000 0.8688 1
O1 O 0.0478 0.2908 0.3100 1
O2 O 0.1584 0.5000 0.6582 1

=====

Record 7
# AlFeW PBE relaxed
# - energy relative to the elements (eV/atom) = 0.082
data_AlFeW
_chemical_formula_sum 'Al4 Fe4 W4'
_cell_length_a 8.1613
_cell_length_b 3.9926
_cell_length_c 5.6579
_cell_angle_alpha 90.00
_cell_angle_beta 90.00
_cell_angle_gamma 90.00
_space_group_name_H-M_alt 'P n m a'
_space_group_IT_number 62
_space_group_name_Hall '-P 2ac 2n'
loop_
_atom_site_label
_atom_site_type_symbol
_atom_site_fract_x
_atom_site_fract_y
_atom_site_fract_z
_atom_site_occupancy
Al1 Al 0.1138 0.2500 0.0080 1
Fe1 Fe 0.1205 0.7500 0.2829 1
W1 W 0.1391 0.2500 0.5131 1

=====

Record 8
# PuUIrPd PBE relaxed
# - energy relative to the elements (eV/atom) = -0.541
data_PuUIrPd
_chemical_formula_sum 'Pu4 U4 Ir4 Pd4'
_cell_length_a 6.6122
_cell_length_b 6.6122
_cell_length_c 6.6122
_cell_angle_alpha 90.00
_cell_angle_beta 90.00
_cell_angle_gamma 90.00
_space_group_name_H-M_alt 'F -4 3 m'
_space_group_IT_number 216
_space_group_name_Hall 'F -4 2 3'
loop_
_atom_site_label
_atom_site_type_symbol
_atom_site_fract_x
_atom_site_fract_y
_atom_site_fract_z
_atom_site_occupancy
Pu1 Pu 0.0000 0.0000 0.0000 1
U1 U 0.2500 0.2500 0.7500 1
Ir1 Ir 0.0000 0.0000 0.5000 1
Pd1 Pd 0.2500 0.2500 0.2500 1

=====

Record 9
# CsVSnAs2 PBE relaxed
# - energy relative to the elements (eV/atom) = 2.257
data_CsVSnAs2
_chemical_formula_sum 'Cs1 V1 Sn1 As2'
_cell_length_a 5.5184
_cell_length_b 5.5184
_cell_length_c 5.9914
_cell_angle_alpha 90.00
_cell_angle_beta 90.00
_cell_angle_gamma 90.00
_space_group_name_H-M_alt 'P 4/m m m'
_space_group_IT_number 123
_space_group_name_Hall '-P 4 2'
loop_
_atom_site_label
_atom_site_type_symbol
_atom_site_fract_x
_atom_site_fract_y
_atom_site_fract_z
_atom_site_occupancy
Cs1 Cs 0.0000 0.0000 0.0000 1
V1 V 0.5000 0.5000 0.5000 1
Sn1 Sn 0.0000 0.0000 0.5000 1
As1 As 0.0000 0.5000 0.0000 1

=====

Record 10
# CdSn12Au4 PBE relaxed
# - energy relative to the elements (eV/atom) = -0.048
data_CdSn12Au4
_chemical_formula_sum 'Cd2 Sn24 Au8'
_cell_length_a 9.7409
_cell_length_b 9.7409
_cell_length_c 9.7409
_cell_angle_alpha 90.00
_cell_angle_beta 90.00
_cell_angle_gamma 90.00
_space_group_name_H-M_alt 'I m -3'
_space_group_IT_number 204
_space_group_name_Hall '-I 2 2 3'
loop_
_atom_site_label
_atom_site_type_symbol
_atom_site_fract_x
_atom_site_fract_y
_atom_site_fract_z
_atom_site_occupancy
Cd1 Cd 0.0000 0.0000 0.0000 1
Sn1 Sn 0.0000 0.3438 0.1520 1
Au1 Au 0.2500 0.2500 0.2500 1

=====

Record 11
# ZrAgHg PBE relaxed
# - energy relative to the elements (eV/atom) = 0.347
data_ZrAgHg
_chemical_formula_sum 'Zr4 Ag4 Hg4'
_cell_length_a 6.6608
_cell_length_b 6.6608
_cell_length_c 6.6608
_cell_angle_alpha 90.00
_cell_angle_beta 90.00
_cell_angle_gamma 90.00
_space_group_name_H-M_alt 'F -4 3 m'
_space_group_IT_number 216
_space_group_name_Hall 'F -4 2 3'
loop_
_atom_site_label
_atom_site_type_symbol
_atom_site_fract_x
_atom_site_fract_y
_atom_site_fract_z
_atom_site_occupancy
Zr1 Zr 0.0000 0.0000 0.0000 1
Ag1 Ag 0.2500 0.2500 0.2500 1
Hg1 Hg 0.2500 0.2500 0.7500 1

=====

Record 12
# La2TbCd PBE relaxed
# - energy relative to the elements (eV/atom) = -0.156
data_La2TbCd
_chemical_formula_sum 'La16 Tb8 Cd8'
_cell_length_a 7.5354
_cell_length_b 7.5432
_cell_length_c 18.0124
_cell_angle_alpha 90.00
_cell_angle_beta 90.00
_cell_angle_gamma 90.00
_space_group_name_H-M_alt 'F m m m'
_space_group_IT_number 69
_space_group_name_Hall '-F 2 2'
loop_
_atom_site_label
_atom_site_type_symbol
_atom_site_fract_x
_atom_site_fract_y
_atom_site_fract_z
_atom_site_occupancy
La1 La 0.0000 0.0000 0.1364 1
La2 La 0.2500 0.2500 0.0000 1
Tb1 Tb 0.0000 0.0000 0.3564 1
Cd1 Cd 0.2500 0.2500 0.2500 1

=====

Number 1: total energy -44.766 eV for the cell shown. Number 2: total energy -112.235 eV for the cell shown. Number 3: total energy -162.230 eV for the cell shown. Number 4: total energy -90.430 eV for the cell shown. Number 5: total energy -47.541 eV for the cell shown. Number 6: total energy -132.097 eV for the cell shown. Number 7: total energy -99.654 eV for the cell shown. Number 8: total energy -167.348 eV for the cell shown. Number 9: total energy -11.989 eV for the cell shown. Number 10: total energy -125.764 eV for the cell shown. Number 11: total energy -42.636 eV for the cell shown. Number 12: total energy -128.199 eV for the cell shown.